Compound: ZnRu2Pb
Source: Alexandria
Functional: PBE
Structure: relaxed

Properties
- formation energy from the elements (eV per formula unit) = 1.0
- DOS(E_F) (states/eV per cell) = 2.04
- mass density (g/cm3) = 10.7

The structure in POSCAR format:
```
ZnRu2Pb
1.0
2.956 0.000 0.000
0.000 2.956 0.000
0.000 0.000 8.456
Zn Ru Pb
1 2 1
Cartesian
0.000 0.000 0.000
0.000 0.000 5.246
1.478 1.478 6.817
1.478 1.478 3.036
```

Compound: ZnRuPb2
Source: Alexandria
Functional: PBE
Structure: relaxed

Properties
- formation energy from the elements (eV per formula unit) = 1.5
- DOS(E_F) (states/eV per cell) = 1.94
- mass density (g/cm3) = 10.8

The structure in POSCAR format:
```
ZnRuPb2
1.0
1.709 0.987 8.827
-1.709 0.987 8.827
0.000 -1.974 8.827
Zn Ru Pb
1 1 2
Cartesian
0.000 0.000 0.000
0.000 0.000 13.240
0.000 0.000 6.412
0.000 0.000 20.069
```

Compound: ZnRuPb4
Source: Alexandria
Functional: PBE
Structure: relaxed

Properties
- formation energy from the elements (eV per formula unit) = 5.4
- DOS(E_F) (states/eV per cell) = 8.08
- mass density (g/cm3) = 9.5

The structure in POSCAR format:
```
ZnRuPb4
1.0
0.000 4.424 4.424
4.424 0.000 4.424
4.424 4.424 0.000
Zn Ru Pb
1 1 4
Cartesian
0.000 0.000 0.000
2.212 2.212 2.212
5.526 3.323 3.323
3.323 5.526 3.323
3.323 3.323 5.526
5.526 5.526 5.526
```

Compound: ZnRu2Pb
Source: Alexandria
Functional: PBE
Structure: relaxed

Properties
- formation energy from the elements (eV per formula unit) = 2.0
- DOS(E_F) (states/eV per cell) = 5.38
- mass density (g/cm3) = 12.0

The structure in POSCAR format:
```
ZnRu2Pb
1.0
-1.992 1.992 4.150
1.992 -1.992 4.150
1.992 1.992 -4.150
Zn Ru Pb
1 2 1
Cartesian
0.000 0.000 0.000
0.000 0.000 4.150
0.000 1.992 2.075
1.992 0.000 2.075
```

Compound: ZnRuPb2
Source: Alexandria
Functional: PBE
Structure: relaxed

Properties
- formation energy from the elements (eV per formula unit) = 2.1
- DOS(E_F) (states/eV per cell) = 3.85
- mass density (g/cm3) = 11.4

The structure in POSCAR format:
```
ZnRuPb2
1.0
-2.107 2.107 4.750
2.107 -2.107 4.750
2.107 2.107 -4.750
Zn Ru Pb
1 1 2
Cartesian
0.000 0.000 0.000
0.000 2.107 2.375
2.107 0.000 2.375
0.000 0.000 4.750
```

Compound: ZnRu2Pb
Source: Alexandria
Functional: PBE
Structure: relaxed

Properties
- formation energy from the elements (eV per formula unit) = 1.4
- DOS(E_F) (states/eV per cell) = 3.30
- mass density (g/cm3) = 11.9

The structure in POSCAR format:
```
ZnRu2Pb
1.0
4.978 -1.519 0.000
4.978 1.519 0.000
-1.647 0.000 4.398
Zn Ru Pb
1 2 1
Cartesian
0.000 0.000 0.000
1.037 0.000 3.871
4.438 0.000 2.259
7.101 0.000 1.712
```

Compound: ZnRu2Pb
Source: Alexandria
Functional: PBE
Structure: relaxed

Properties
- formation energy from the elements (eV per formula unit) = 2.3
- DOS(E_F) (states/eV per cell) = 3.29
- mass density (g/cm3) = 10.3

The structure in POSCAR format:
```
ZnRu2Pb
1.0
-2.042 2.042 9.173
2.042 -2.042 9.173
2.042 2.042 -9.173
Zn Ru Pb
2 4 2
Cartesian
0.000 0.000 0.000
0.000 2.042 4.586
3.063 0.673 -2.293
0.673 1.021 2.293
-1.021 1.369 6.879
1.369 1.021 11.466
2.042 0.000 4.586
0.000 0.000 9.173
```

Compound: ZnRuPb2
Source: Alexandria
Functional: PBE
Structure: relaxed

Properties
- formation energy from the elements (eV per formula unit) = 1.1
- DOS(E_F) (states/eV per cell) = 0.00
- mass density (g/cm3) = 7.5

The structure in POSCAR format:
```
ZnRuPb2
1.0
-5.049 5.049 2.531
5.049 -5.049 2.531
5.049 5.049 -2.531
Zn Ru Pb
2 2 4
Cartesian
5.049 2.524 0.633
0.000 2.524 1.898
5.049 -2.524 1.898
0.000 7.573 0.633
0.000 0.000 0.000
2.524 2.524 -1.265
2.524 -2.524 1.265
0.000 5.049 0.000
```